(1)
Compound: SiW3C2
Source: OQMD
Functional: PBE
Structure: optimized geometry

Computed properties:
The value obtained for the total energy is -10.261 eV per atom. The crystal system is hexagonal.

Cell lengths 3.1182, 3.1182, 17.3311 Å; angles 90.00, 90.00, 120.00 degrees
Space group P6_3/mmc (No. 194)
Inequivalent atoms, fractional coordinates:
Si1 0.0000 0.0000 0.2500
W1 0.0000 0.0000 0.0000
W2 0.3333 0.6667 0.1410
C1 0.3333 0.6667 0.5734



(2)
Compound: KTbFeS3
Source: OQMD
Functional: PBE
Structure: optimized geometry

Computed properties:
The value obtained for the total energy is -5.575 eV per atom. The crystal system is monoclinic.

Cell lengths 16.6843, 4.0342, 8.4319 Å; angles 90.00, 103.44, 90.00 degrees
Space group C2/m (No. 12)
Inequivalent atoms, fractional coordinates:
K1 0.1450 0.0000 0.0698
Tb1 0.1673 0.0000 0.5834
Fe1 0.0072 0.5000 0.7291
S1 0.0000 0.0000 0.5000
S2 0.0000 0.5000 0.0000
S3 0.1558 0.5000 0.7909
S4 0.1620 0.5000 0.3597



(3)
Compound: Cs2Tb2TeS3
Source: OQMD
Functional: PBE
Structure: optimized geometry

Computed properties:
The value obtained for the total energy is -5.012 eV per atom. The crystal system is trigonal.

Cell lengths 4.2112, 4.2112, 16.5873 Å; angles 90.00, 90.00, 120.00 degrees
Space group P3m1 (No. 156)
Inequivalent atoms, fractional coordinates:
Cs1 0.0000 0.0000 0.0000
Cs2 0.3333 0.6667 0.5217
Tb1 0.6667 0.3333 0.2389
Tb2 0.6667 0.3333 0.7611
Te1 0.0000 0.0000 0.3523
S1 0.0000 0.0000 0.6751
S2 0.3333 0.6667 0.1549
S3 0.3333 0.6667 0.8476



(4)
Compound: SmGdGe
Source: OQMD
Functional: PBE
Structure: optimized geometry

Computed properties:
The value obtained for the total energy is -5.199 eV per atom. The crystal system is hexagonal.

Cell lengths 5.2261, 5.2261, 6.4445 Å; angles 90.00, 90.00, 120.00 degrees
Space group P6_3mc (No. 186)
Inequivalent atoms, fractional coordinates:
Sm1 0.0000 0.0000 0.0000
Gd1 0.3333 0.6667 0.2497
Ge1 0.3333 0.6667 0.7481



(5)
Compound: Dy2Si2O7
Source: OQMD
Functional: PBE
Structure: optimized geometry

Computed properties:
The value obtained for the total energy is -8.191 eV per atom. The crystal system is triclinic.

Cell lengths 6.5948, 6.6316, 12.0085 Å; angles 94.29, 90.82, 91.68 degrees
Space group P-1 (No. 2)
Inequivalent atoms, fractional coordinates:
Dy1 0.0527 0.3285 0.1152
Dy2 0.1166 0.0887 0.3582
Dy3 0.3283 0.8275 0.1083
Dy4 0.3705 0.2228 0.6310
Si1 0.1441 0.6246 0.3815
Si2 0.1563 0.1495 0.8837
Si3 0.3775 0.7274 0.5965
Si4 0.4862 0.6661 0.8268
O1 0.9997 0.0145 0.1841
O2 0.9997 0.3345 0.9181
O3 0.0380 0.2291 0.5723
O4 0.0730 0.4154 0.3123
O5 0.2260 0.9083 0.6241
O6 0.2393 0.0889 0.0043
O7 0.2869 0.7806 0.3124
O8 0.2906 0.5726 0.4901
O9 0.2971 0.7083 0.9085
O10 0.3492 0.2126 0.8118
O11 0.3569 0.4896 0.1238
O12 0.3829 0.1378 0.2119
O13 0.3979 0.5681 0.6965
O14 0.4134 0.1689 0.4453



(6)
Compound: BeTlHg
Source: OQMD
Functional: PBE
Structure: optimized geometry

Computed properties:
The value obtained for the total energy is -1.716 eV per atom. The crystal system is cubic.

Cell lengths 6.3276, 6.3276, 6.3276 Å; angles 90.00, 90.00, 90.00 degrees
Space group F-43m (No. 216)
Inequivalent atoms, fractional coordinates:
Be1 0.0000 0.0000 0.0000
Tl1 0.2500 0.2500 0.2500
Hg1 0.2500 0.2500 0.7500



(7)
Compound: BeCdFeW
Source: OQMD
Functional: PBE
Structure: optimized geometry

Computed properties:
The value obtained for the total energy is -5.851 eV per atom. The crystal system is cubic.

Cell lengths 6.0539, 6.0539, 6.0539 Å; angles 90.00, 90.00, 90.00 degrees
Space group F-43m (No. 216)
Inequivalent atoms, fractional coordinates:
Be1 0.0000 0.0000 0.0000
Cd1 0.2500 0.2500 0.7500
Fe1 0.2500 0.2500 0.2500
W1 0.0000 0.0000 0.5000



(8)
Compound: La3CdPt8
Source: OQMD
Functional: PBE
Structure: optimized geometry

Computed properties:
The value obtained for the total energy is -6.321 eV per atom. The value obtained for the formation energy is -0.978 eV per atom. The crystal system is trigonal.

Cell lengths 5.5156, 5.5156, 27.0719 Å; angles 90.00, 90.00, 120.00 degrees
Space group R3m (No. 160, hexagonal axes)
Inequivalent atoms, fractional coordinates:
La1 0.0000 0.0000 0.0000
La2 0.0000 0.0000 0.1285
La3 0.0000 0.0000 0.5127
Cd1 0.0000 0.0000 0.6352
Pt1 0.0000 0.0000 0.3175
Pt2 0.0000 0.0000 0.8178
Pt3 0.0000 0.5000 0.0681
Pt4 0.1680 0.3359 0.9009